Record 1
A geometry-optimized ScCdSn structure. Source: Alexandria, functional GGA-PBE.

Summary:
- crystal system = monoclinic
- DFT formation energy (eV per atom) = -0.33

Geometry as extended XYZ:
```
12
Lattice="10.249 0.000 0.000 0.000 4.429 0.000 -1.698 0.000 6.012" Properties=species:S:1:pos:R:3 pbc="T T T"
Sc 0.000 0.000 0.000
Sc 1.446 2.215 2.045
Sc 5.124 2.215 0.000
Sc 6.570 0.000 2.045
Cd 0.365 2.215 5.017
Cd 2.460 0.000 4.038
Cd 5.490 0.000 5.017
Cd 7.584 2.215 4.038
Sn -0.558 0.000 3.033
Sn 3.209 0.000 0.957
Sn 4.566 2.215 3.033
Sn 8.333 2.215 0.957
```



Record 2
A geometry-optimized Cs2TlSb structure. Source: Alexandria, functional GGA-PBE.

Summary:
- crystal system = cubic
- calculated total energy (eV per atom) = -2.176

Geometry as extended XYZ:
```
16
Lattice="9.049 0.000 0.000 0.000 9.049 0.000 0.000 0.000 9.049" Properties=species:S:1:pos:R:3 pbc="T T T"
Cs 2.262 2.262 2.262
Cs 2.262 2.262 6.787
Cs 2.262 6.787 2.262
Cs 2.262 6.787 6.787
Cs 6.787 2.262 2.262
Cs 6.787 2.262 6.787
Cs 6.787 6.787 2.262
Cs 6.787 6.787 6.787
Tl 0.000 0.000 0.000
Tl 0.000 4.524 4.524
Tl 4.524 0.000 4.524
Tl 4.524 4.524 0.000
Sb 0.000 0.000 4.524
Sb 0.000 4.524 0.000
Sb 4.524 0.000 0.000
Sb 4.524 4.524 4.524
```



Record 3
A geometry-optimized HfCoB4 structure. Source: Alexandria, functional GGA-PBE.

Summary:
- crystal system = orthorhombic
- DFT formation energy (eV per atom) = -0.63

Geometry as extended XYZ:
```
24
Lattice="5.760 0.000 0.000 0.000 11.188 0.000 0.000 0.000 3.226" Properties=species:S:1:pos:R:3 pbc="T T T"
Hf 0.737 1.690 0.000
Hf 2.143 7.284 0.000
Hf 3.617 3.904 0.000
Hf 5.023 9.498 0.000
Co 0.793 4.589 0.000
Co 2.087 10.183 0.000
Co 3.673 1.005 0.000
Co 4.967 6.599 0.000
B 0.128 7.757 1.613
B 0.661 6.126 1.613
B 0.765 10.817 1.613
B 1.209 9.094 1.613
B 1.671 3.500 1.613
B 2.115 5.223 1.613
B 2.219 0.532 1.613
B 2.752 2.163 1.613
B 3.008 9.025 1.613
B 3.541 10.656 1.613
B 3.644 5.965 1.613
B 4.089 7.689 1.613
B 4.551 2.094 1.613
B 4.995 0.371 1.613
B 5.099 5.062 1.613
B 5.632 3.431 1.613
```